Entry 1:
Material: Cs3Th2NpN6
Method: DFT, PBE
State: optimized geometry

Structure (CIF):
```
data_Cs3Th2NpN6
_space_group_name_H-M_alt 'P 1'
_space_group_IT_number 1
_space_group_name_Hall 'P 1'
_cell_length_a 6.3570
_cell_length_b 6.3570
_cell_length_c 7.4252
_cell_angle_alpha 98.18
_cell_angle_beta 98.18
_cell_angle_gamma 119.93
loop_
_atom_site_label
_atom_site_type_symbol
_atom_site_fract_x
_atom_site_fract_y
_atom_site_fract_z
N1 N 0.2518 0.2518 0.8517
Th1 Th 0.3335 0.6665 0.0000
Th2 Th 0.6665 0.3335 0.0000
N2 N 0.6523 0.9508 0.8542
Cs1 Cs 0.8342 0.1658 0.5000
N3 N 0.9508 0.6523 0.8542
Np1 Np 0.0000 0.0000 0.0000
N4 N 0.0492 0.3477 0.1458
N5 N 0.3477 0.0492 0.1458
Cs2 Cs 0.1658 0.8342 0.5000
N6 N 0.7482 0.7482 0.1483
Cs3 Cs 0.5000 0.5000 0.5000
```

Properties
SG: C2/m, No. 12
Crystal system: monoclinic
Raw total energy, eV/atom: -7.526

---

Entry 2:
Material: ScMn2Si
Method: DFT, PBE
State: optimized geometry

Structure (CIF):
```
data_ScMn2Si
_space_group_name_H-M_alt 'P 1'
_space_group_IT_number 1
_space_group_name_Hall 'P 1'
_cell_length_a 4.8636
_cell_length_b 4.8636
_cell_length_c 4.8636
_cell_angle_alpha 134.35
_cell_angle_beta 134.35
_cell_angle_gamma 66.54
loop_
_atom_site_label
_atom_site_type_symbol
_atom_site_fract_x
_atom_site_fract_y
_atom_site_fract_z
Sc1 Sc 0.5000 0.5000 0.0000
Si1 Si 0.7500 0.2500 0.5000
Mn1 Mn 0.2500 0.7500 0.5000
Mn2 Mn 0.0000 0.0000 0.0000
```

Properties
SG: I-4m2, No. 119
Crystal system: tetragonal
Raw total energy, eV/atom: -7.701

---

Entry 3:
Material: MnBr
Method: DFT, PBE
State: optimized geometry

Structure (CIF):
```
data_MnBr
_space_group_name_H-M_alt 'P 1'
_space_group_IT_number 1
_space_group_name_Hall 'P 1'
_cell_length_a 3.2766
_cell_length_b 6.9246
_cell_length_c 7.4547
_cell_angle_alpha 90.00
_cell_angle_beta 90.00
_cell_angle_gamma 90.00
loop_
_atom_site_label
_atom_site_type_symbol
_atom_site_fract_x
_atom_site_fract_y
_atom_site_fract_z
Br1 Br 0.2500 0.7802 0.8222
Br2 Br 0.7500 0.7198 0.3222
Mn1 Mn 0.2500 0.4959 0.0888
Mn2 Mn 0.7500 0.5041 0.9112
Mn3 Mn 0.7500 0.0041 0.5888
Mn4 Mn 0.2500 0.9959 0.4112
Br3 Br 0.7500 0.2198 0.1778
Br4 Br 0.2500 0.2802 0.6778
```

Properties
SG: Pnma, No. 62
Crystal system: orthorhombic
Raw total energy, eV/atom: -4.999

---

Entry 4:
Material: MoIr2Ru
Method: DFT, PBE
State: optimized geometry

Structure (CIF):
```
data_MoIr2Ru
_space_group_name_H-M_alt 'P 1'
_space_group_IT_number 1
_space_group_name_Hall 'P 1'
_cell_length_a 3.3092
_cell_length_b 3.3092
_cell_length_c 5.5080
_cell_angle_alpha 90.00
_cell_angle_beta 90.00
_cell_angle_gamma 90.00
loop_
_atom_site_label
_atom_site_type_symbol
_atom_site_fract_x
_atom_site_fract_y
_atom_site_fract_z
Ru1 Ru 0.5000 0.5000 0.7564
Ir1 Ir 0.5000 0.5000 0.2436
Mo1 Mo 0.0000 0.0000 0.4952
Ir2 Ir 0.0000 0.0000 0.0048
```

Properties
Formation energy, kJ per mole of atoms: 20.3
Polymorph energy (0 for the lowest one), eV/f.u.: 1.84
SG: P4mm, No. 99
Crystal system: tetragonal
Raw total energy, eV/atom: -9.247